# 1
# La2TbY4Ho2

Crystalline La2TbY4Ho2 at its relaxed geometry (PBE-GGA, Alexandria via LeMat-Bulk).

Computed properties:
The final energy is -49.3 eV per cell. As for the space group: P-1.

Cell and atoms, written as POSCAR:
```
La2TbY4Ho2
1.0
6.224 0.000 0.000
1.058 6.156 0.000
2.054 0.702 7.753
La Tb Y Ho
2 1 4 2
Direct
0.172 0.330 0.333
0.828 0.670 0.667
0.500 0.000 0.000
0.057 0.110 0.780
0.277 0.554 0.888
0.723 0.446 0.112
0.943 0.890 0.220
0.391 0.777 0.444
0.609 0.223 0.556
```

***

# 2
# Ca3DyZn8

Crystalline Ca3DyZn8 at its relaxed geometry (PBE-GGA, Alexandria via LeMat-Bulk).

Computed properties:
The final energy is -24.0 eV per cell. As for the space group: R3m.

Cell and atoms, written as POSCAR:
```
Ca3DyZn8
1.0
2.766 1.597 9.031
-2.766 1.597 9.031
0.000 -3.194 9.031
Ca Dy Zn
3 1 8
Direct
0.000 0.000 0.000
0.125 0.125 0.125
0.626 0.626 0.626
0.501 0.501 0.501
0.062 0.062 0.562
0.062 0.562 0.062
0.066 0.563 0.563
0.313 0.313 0.313
0.562 0.062 0.062
0.563 0.066 0.563
0.563 0.563 0.066
0.813 0.813 0.813
```

***

# 3
# Li2ScSi

Crystalline Li2ScSi at its relaxed geometry (PBE-GGA, Alexandria via LeMat-Bulk).

Computed properties:
The final energy is -32.9 eV per cell. As for the space group: C2/m.

Cell and atoms, written as POSCAR:
```
Li2ScSi
1.0
9.526 0.000 0.000
0.000 3.054 0.000
-0.705 0.000 4.714
Li Sc Si
4 2 2
Direct
0.236 0.000 0.214
0.264 0.500 0.786
0.736 0.500 0.214
0.764 0.000 0.786
0.000 0.000 0.500
0.500 0.500 0.500
0.000 0.500 0.000
0.500 0.000 0.000
```